# 1
Computed, not measured: Zr3SiBr after structural relaxation at the PBE level of DFT.

Output
* magnetization: 0.0 μB per formula unit
* VASP energy: -30.9 eV for the cell shown
* Fermi-level density of states: 8.724 states/eV per cell
* E above lowest polymorph: 0 meV/atom

a = 5.048 Å, b = 5.048 Å, c = 5.048 Å
α = 90.00°, β = 90.00°, γ = 90.00°
Space group Pm-3m (No. 221)
Inequivalent atoms, fractional coordinates:
Zr 0.000 0.000 0.500 (multiplicity 3)
Si 0.000 0.000 0.000 (multiplicity 1)
Br 0.500 0.500 0.500 (multiplicity 1)



# 2
Computed, not measured: ZrSiBr2 after structural relaxation at the PBE level of DFT.

Output
* magnetization: 0.3 μB per formula unit
* VASP energy: -32.6 eV for the cell shown
* Fermi-level density of states: 7.584 states/eV per cell
* E above lowest polymorph: 925 meV/atom

a = 6.259 Å, b = 8.595 Å, c = 3.281 Å
α = 90.00°, β = 90.00°, γ = 90.00°
Space group Cmmm (No. 65)
Inequivalent atoms, fractional coordinates:
Zr 0.000 0.000 0.000 (multiplicity 2)
Si 0.000 0.500 0.000 (multiplicity 2)
Br 0.250 0.250 0.500 (multiplicity 4)



# 3
Computed, not measured: SmBr4 after structural relaxation at the PBE level of DFT.

Output
* magnetization: 1.0 μB per formula unit
* VASP energy: -17.3 eV for the cell shown
* Fermi-level density of states: 7.700 states/eV per cell

a = 5.715 Å, b = 5.715 Å, c = 5.715 Å
α = 90.00°, β = 90.00°, γ = 90.00°
Space group Pm-3m (No. 221)
Inequivalent atoms, fractional coordinates:
Sm 0.000 0.000 0.000 (multiplicity 1)
Br 0.000 0.000 0.500 (multiplicity 3)
Br 0.500 0.500 0.500 (multiplicity 1)



# 4
Computed, not measured: SmSn2Br8 after structural relaxation at the PBE level of DFT.

Output
* magnetization: 0.0 μB per formula unit
* VASP energy: -74.9 eV for the cell shown
* Fermi-level density of states: 12.366 states/eV per cell
* E above lowest polymorph: 19 meV/atom

a = 12.946 Å, b = 9.820 Å, c = 8.110 Å
α = 90.00°, β = 109.33°, γ = 90.00°
Space group C2/m (No. 12)
Inequivalent atoms, fractional coordinates:
Sm 0.000 0.000 0.000 (multiplicity 2)
Sn 0.136 0.000 0.618 (multiplicity 4)
Br 0.085 0.202 0.819 (multiplicity 8)
Br 0.159 0.500 0.212 (multiplicity 4)
Br 0.196 0.000 0.297 (multiplicity 4)



# 5
Computed, not measured: Sm7SnBr12 after structural relaxation at the PBE level of DFT.

Output
* magnetization: 0.0 μB per formula unit
* VASP energy: -265.7 eV for the cell shown
* Fermi-level density of states: 27.276 states/eV per cell

a = 15.3506 Å, b = 15.3506 Å, c = 10.0095 Å
α = 90.00°, β = 90.00°, γ = 120.00°
Space group R-3 (No. 148, hexagonal axes)
Inequivalent atoms, fractional coordinates:
Sm 0.0000 0.0000 0.0000 (multiplicity 3)
Sm 0.0493 0.1743 0.3322 (multiplicity 18)
Sn 0.0000 0.0000 0.5000 (multiplicity 3)
Br 0.0272 0.5882 0.1666 (multiplicity 18)
Br 0.0504 0.1814 0.8433 (multiplicity 18)



# 6
Computed, not measured: Sm2SnBr3 after structural relaxation at the PBE level of DFT.

Output
* magnetization: 0.0 μB per formula unit
* VASP energy: -106.3 eV for the cell shown
* Fermi-level density of states: 3.196 states/eV per cell

a = 19.610 Å, b = 4.039 Å, c = 14.031 Å
α = 90.00°, β = 130.18°, γ = 90.00°
Space group C2/m (No. 12)
Inequivalent atoms, fractional coordinates:
Sm 0.112 0.000 0.429 (multiplicity 4)
Sm 0.127 0.500 0.837 (multiplicity 4)
Sn 0.074 0.000 0.629 (multiplicity 4)
Br 0.049 0.500 0.230 (multiplicity 4)
Br 0.178 0.000 0.031 (multiplicity 4)
Br 0.242 0.500 0.606 (multiplicity 4)



# 7
Computed, not measured: Sm2SnBr2 after structural relaxation at the PBE level of DFT.

Output
* magnetization: 0.0 μB per formula unit
* VASP energy: -91.3 eV for the cell shown
* Fermi-level density of states: 4.201 states/eV per cell

a = 22.182 Å, b = 4.192 Å, c = 7.649 Å
α = 90.00°, β = 91.01°, γ = 90.00°
Space group C2/m (No. 12)
Inequivalent atoms, fractional coordinates:
Sm 0.161 0.000 0.001 (multiplicity 4)
Sm 0.162 0.000 0.489 (multiplicity 4)
Sn 0.226 0.500 0.248 (multiplicity 4)
Br 0.060 0.000 0.241 (multiplicity 4)
Br 0.107 0.500 0.742 (multiplicity 4)



# 8
Computed, not measured: Sm3Sn2Br2 after structural relaxation at the PBE level of DFT.

Output
* magnetization: 0.0 μB per formula unit
* VASP energy: -31.6 eV for the cell shown
* Fermi-level density of states: 3.617 states/eV per cell

a = 3.710 Å, b = 7.423 Å, c = 7.851 Å
α = 81.04°, β = 89.93°, γ = 75.56°
Space group P-1 (No. 2)
Inequivalent atoms, fractional coordinates:
Sm 0.000 0.000 0.000 (multiplicity 1)
Sm 0.268 0.465 0.713 (multiplicity 2)
Sn 0.079 0.839 0.410 (multiplicity 2)
Br 0.353 0.293 0.095 (multiplicity 2)



# 9
Computed, not measured: SmSn2Br8 after structural relaxation at the PBE level of DFT.

Output
* magnetization: 0.0 μB per formula unit
* VASP energy: -75.3 eV for the cell shown
* Fermi-level density of states: 12.913 states/eV per cell
* E above lowest polymorph: 0 meV/atom

a = 13.036 Å, b = 9.272 Å, c = 7.859 Å
α = 90.00°, β = 108.32°, γ = 90.00°
Space group C2/m (No. 12)
Inequivalent atoms, fractional coordinates:
Sm 0.000 0.000 0.000 (multiplicity 2)
Sn 0.151 0.500 0.189 (multiplicity 4)
Br 0.084 0.500 0.831 (multiplicity 4)
Br 0.122 0.000 0.752 (multiplicity 4)
Br 0.152 0.193 0.239 (multiplicity 8)



# 10
Computed, not measured: SrSmBr5 after structural relaxation at the PBE level of DFT.

Output
* magnetization: 0.0 μB per formula unit
* VASP energy: -56.8 eV for the cell shown
* Fermi-level density of states: 0.000 states/eV per cell

a = 8.495 Å, b = 4.374 Å, c = 14.082 Å
α = 90.00°, β = 93.37°, γ = 90.00°
Space group P2_1/m (No. 11)
Inequivalent atoms, fractional coordinates:
Sr 0.087 0.250 0.142 (multiplicity 2)
Sm 0.423 0.750 0.351 (multiplicity 2)
Br 0.084 0.750 0.319 (multiplicity 2)
Br 0.145 0.250 0.926 (multiplicity 2)
Br 0.323 0.250 0.481 (multiplicity 2)
Br 0.362 0.750 0.145 (multiplicity 2)
Br 0.377 0.750 0.699 (multiplicity 2)



# 11
Computed, not measured: SrSmBr2 after structural relaxation at the PBE level of DFT.

Output
* magnetization: 0.0 μB per formula unit
* VASP energy: -43.2 eV for the cell shown
* Fermi-level density of states: 13.023 states/eV per cell

a = 3.9186 Å, b = 3.9186 Å, c = 31.4852 Å
α = 90.00°, β = 90.00°, γ = 120.00°
Space group R-3m (No. 166, hexagonal axes)
Inequivalent atoms, fractional coordinates:
Sr 0.0000 0.0000 0.0000 (multiplicity 3)
Sm 0.0000 0.0000 0.5000 (multiplicity 3)
Br 0.0000 0.0000 0.1019 (multiplicity 6)



# 12
Computed, not measured: Sr2SmBr6 after structural relaxation at the PBE level of DFT.

Output
* magnetization: 1.0 μB per formula unit
* VASP energy: -69.9 eV for the cell shown
* Fermi-level density of states: 2.121 states/eV per cell

a = 7.316 Å, b = 7.316 Å, c = 12.968 Å
α = 90.00°, β = 90.00°, γ = 90.00°
Space group P4_2/mnm (No. 136)
Inequivalent atoms, fractional coordinates:
Sr 0.000 0.000 0.176 (multiplicity 4)
Sm 0.000 0.000 0.500 (multiplicity 2)
Br 0.206 0.206 0.343 (multiplicity 8)
Br 0.211 0.211 0.000 (multiplicity 4)



# 13
Computed, not measured: Sm2TaBr after structural relaxation at the PBE level of DFT.

Output
* magnetization: 1.0 μB per formula unit
* VASP energy: -66.9 eV for the cell shown
* Fermi-level density of states: 10.982 states/eV per cell

a = 3.3106 Å, b = 3.3106 Å, c = 32.8342 Å
α = 90.00°, β = 90.00°, γ = 120.00°
Space group R-3m (No. 166, hexagonal axes)
Inequivalent atoms, fractional coordinates:
Sm 0.0000 0.0000 0.0920 (multiplicity 6)
Ta 0.0000 0.0000 0.0000 (multiplicity 3)
Br 0.0000 0.0000 0.5000 (multiplicity 3)



# 14
Computed, not measured: TbSmBr6 after structural relaxation at the PBE level of DFT.

Output
* magnetization: 0.0 μB per formula unit
* VASP energy: -68.2 eV for the cell shown
* Fermi-level density of states: 0.000 states/eV per cell
* E above lowest polymorph: 0 meV/atom

a = 7.056 Å, b = 13.349 Å, c = 7.055 Å
α = 90.00°, β = 106.92°, γ = 90.00°
Space group C2/m (No. 12)
Inequivalent atoms, fractional coordinates:
Tb 0.000 0.000 0.000 (multiplicity 2)
Sm 0.000 0.500 0.500 (multiplicity 2)
Br 0.246 0.145 0.246 (multiplicity 8)
Br 0.248 0.000 0.752 (multiplicity 4)



# 15
Computed, not measured: TbSm2Br8 after structural relaxation at the PBE level of DFT.

Output
* magnetization: 1.0 μB per formula unit
* VASP energy: -91.6 eV for the cell shown
* Fermi-level density of states: 3.186 states/eV per cell

a = 18.758 Å, b = 7.720 Å, c = 6.898 Å
α = 90.00°, β = 98.71°, γ = 90.00°
Space group C2/m (No. 12)
Inequivalent atoms, fractional coordinates:
Tb 0.000 0.000 0.000 (multiplicity 2)
Sm 0.146 0.000 0.446 (multiplicity 4)
Br 0.056 0.261 0.272 (multiplicity 8)
Br 0.136 0.000 0.850 (multiplicity 4)
Br 0.215 0.500 0.621 (multiplicity 4)



# 16
Computed, not measured: TbSmBr2 after structural relaxation at the PBE level of DFT.

Output
* magnetization: 0.0 μB per formula unit
* VASP energy: -50.8 eV for the cell shown
* Fermi-level density of states: 4.797 states/eV per cell
* E above lowest polymorph: 0 meV/atom

a = 3.6353 Å, b = 3.6353 Å, c = 27.6784 Å
α = 90.00°, β = 90.00°, γ = 120.00°
Space group R3m (No. 160, hexagonal axes)
Inequivalent atoms, fractional coordinates:
Tb 0.0000 0.0000 0.0000 (multiplicity 3)
Sm 0.0000 0.0000 0.8362 (multiplicity 3)
Br 0.0000 0.0000 0.2525 (multiplicity 3)
Br 0.0000 0.0000 0.4172 (multiplicity 3)



# 17
Computed, not measured: TbSmBr2 after structural relaxation at the PBE level of DFT.

Output
* magnetization: 0.0 μB per formula unit
* VASP energy: -50.3 eV for the cell shown
* Fermi-level density of states: 5.801 states/eV per cell
* E above lowest polymorph: 42 meV/atom

a = 3.6139 Å, b = 3.6139 Å, c = 28.1755 Å
α = 90.00°, β = 90.00°, γ = 120.00°
Space group R-3m (No. 166, hexagonal axes)
Inequivalent atoms, fractional coordinates:
Tb 0.0000 0.0000 0.0000 (multiplicity 3)
Sm 0.0000 0.0000 0.5000 (multiplicity 3)
Br 0.0000 0.0000 0.2501 (multiplicity 6)



# 18
Computed, not measured: TbSm2Br after structural relaxation at the PBE level of DFT.

Output
* magnetization: 0.0 μB per formula unit
* VASP energy: -53.7 eV for the cell shown
* Fermi-level density of states: 11.901 states/eV per cell
* E above lowest polymorph: 0 meV/atom

a = 3.6863 Å, b = 3.6863 Å, c = 31.3562 Å
α = 90.00°, β = 90.00°, γ = 120.00°
Space group R-3m (No. 166, hexagonal axes)
Inequivalent atoms, fractional coordinates:
Tb 0.0000 0.0000 0.0000 (multiplicity 3)
Sm 0.0000 0.0000 0.2424 (multiplicity 6)
Br 0.0000 0.0000 0.5000 (multiplicity 3)



# 19
Computed, not measured: TbSm2Br5 after structural relaxation at the PBE level of DFT.

Output
* magnetization: 0.0 μB per formula unit
* VASP energy: -130.1 eV for the cell shown
* Fermi-level density of states: 20.193 states/eV per cell

a = 11.428 Å, b = 15.713 Å, c = 7.013 Å
α = 90.00°, β = 90.00°, γ = 90.00°
Space group Pnnm (No. 58)
Inequivalent atoms, fractional coordinates:
Tb 0.221 0.224 0.000 (multiplicity 4)
Sm 0.000 0.500 0.250 (multiplicity 4)
Sm 0.140 0.200 0.500 (multiplicity 4)
Br 0.035 0.344 0.000 (multiplicity 4)
Br 0.101 0.847 0.500 (multiplicity 4)
Br 0.141 0.383 0.500 (multiplicity 4)
Br 0.242 0.579 0.250 (multiplicity 8)



# 20
Computed, not measured: TbSmBr6 after structural relaxation at the PBE level of DFT.

Output
* magnetization: 0.0 μB per formula unit
* VASP energy: -102.0 eV for the cell shown
* Fermi-level density of states: 0.000 states/eV per cell
* E above lowest polymorph: 16 meV/atom

a = 7.1436 Å, b = 7.1436 Å, c = 19.4855 Å
α = 90.00°, β = 90.00°, γ = 120.00°
Space group R-3 (No. 148, hexagonal axes)
Inequivalent atoms, fractional coordinates:
Tb 0.0000 0.0000 0.0000 (multiplicity 3)
Sm 0.0000 0.0000 0.5000 (multiplicity 3)
Br 0.0037 0.3451 0.7493 (multiplicity 18)